Record 1
Material: Ba4S2Cl3
Method: DFT, GGA-PBE
State: optimized geometry

Results
Uncorrected formation energy (eV/atom): -2.14

POSCAR file:
```
Ba4S2Cl3
1.0
-2.990 -1.384 -3.242
3.634 -2.647 1.073
-9.543 -8.102 12.229
Ba Cl S
4 3 2
Direct
0.999 0.001 0.312
0.334 0.666 0.891
0.666 0.334 0.109
0.001 0.999 0.688
0.665 0.335 0.399
0.000 0.000 0.000
0.335 0.665 0.601
0.667 0.333 0.794
0.333 0.667 0.206
```

Record 2
Material: Pa4PC3
Method: DFT, GGA-PBE
State: optimized geometry

Results
Formation energy (eV per atom): -0.49

POSCAR file:
```
Pa4PC3
1.0
5.248 0.000 0.000
0.000 5.248 0.000
0.000 0.000 5.248
C P Pa
3 1 4
Direct
0.000 0.500 0.500
0.500 0.000 0.500
0.500 0.500 0.000
0.000 0.000 0.000
0.000 0.500 0.000
0.500 0.000 0.000
0.000 0.000 0.500
0.500 0.500 0.500
```